DFT (GGA-PBE) results for a relaxed In2MoPt crystal.

ΔE to the lowest computed polymorph = 0.143 eV per atom
Total magnetic moment = 0.00 μB per formula unit
DFT formation energy = 0.1271 eV/atom

a = 2.9885 Å, b = 4.1213 Å, c = 6.0145 Å
α = 90.00°, β = 90.00°, γ = 90.00°
Fractional coordinates of all 4 atoms:
Mo 0.0000 0.0000 0.4974
In 0.0000 0.0000 0.9759
In 0.5000 0.5000 0.2770
Pt 0.5000 0.5000 0.7498

---

DFT (GGA-PBE) results for a relaxed BaCa2InNi crystal.

ΔE to the lowest computed polymorph = 0.000 eV per atom
Total magnetic moment = 0.00 μB per formula unit
DFT formation energy = -0.1802 eV/atom

a = 5.5152 Å, b = 5.5152 Å, c = 5.1864 Å
α = 90.00°, β = 90.00°, γ = 90.00°
Fractional coordinates of all 5 atoms:
Ca 0.5000 0.0000 0.0000
Ca 0.0000 0.5000 0.0000
In 0.0000 0.0000 0.5000
Ni 0.0000 0.0000 0.0000
Ba 0.5000 0.5000 0.5000

---

DFT (GGA-PBE) results for a relaxed LaThPt2 crystal.

ΔE to the lowest computed polymorph = 0.184 eV per atom
Total magnetic moment = 0.00 μB per formula unit
DFT formation energy = -1.0255 eV/atom

a = 5.1461 Å, b = 5.1461 Å, c = 5.1461 Å
α = 60.00°, β = 60.00°, γ = 60.00°
Fractional coordinates of all 4 atoms:
La 0.0000 0.0000 0.0000
Th 0.5000 0.5000 0.5000
Pt 0.7500 0.7500 0.7500
Pt 0.2500 0.2500 0.2500